## Ac8RuRh2 (PBE)

Data for a geometry-optimized Ac8RuRh2 structure.

The total energy is -5.499 eV/atom. For the energy above the lowest structure with this stoichiometry, the calculation gives 0.000 eV/atom. The formation energy is -0.33 eV/atom. The density of states at the Fermi level comes out at 19.2 states/eV/cell.

Cell: 13.5126 8.5658 7.1394 Å, 90.00 90.09 90.00°
Closest atoms and distances in Å follow each position.
Space group C2/m (No. 12)
Asymmetric unit:
Ac: 0.1201 0.0000 0.1627 [4 per cell]  1 Ru 2.91, 1 Rh 2.96
Ac: 0.1238 0.2602 0.6680 [8 per cell]  2 Rh 2.92-3.07, 1 Ru 3.03
Ac: 0.1301 0.5000 0.1671 [4 per cell]  1 Rh 2.90
Ru: 0.0000 0.0000 0.5000 [2 per cell]  6 Ac 2.91-3.03, 2 Rh 3.21
Rh: 0.2371 0.0000 0.5130 [4 per cell]  6 Ac 2.90-3.07, 1 Ru 3.21



## Be2VAs (PBE)

Data for a geometry-optimized Be2VAs structure.

The total energy is -4.974 eV/atom. The formation energy is 0.33 eV/atom. The density of states at the Fermi level comes out at 8.6 states/eV/cell.

Cell: 6.5676 6.5676 4.7358 Å, 90.00 90.00 90.00°
Closest atoms and distances in Å follow each position.
Space group I-42d (No. 122)
Asymmetric unit:
Be: 0.2212 0.2500 0.1250 [8 per cell]  2 As 2.27, 2 Be 2.40, 2 V 2.53
V: 0.0000 0.0000 0.5000 [4 per cell]  2 As 2.37, 4 Be 2.53
As: 0.0000 0.0000 0.0000 [4 per cell]  4 Be 2.27, 2 V 2.37



## TbMg3Pd12 (PBE)

Data for a geometry-optimized TbMg3Pd12 structure.

The total energy is -5.046 eV/atom. The formation energy is -0.56 eV/atom. The density of states at the Fermi level comes out at 18.7 states/eV/cell.

Cell: 4.0308 4.0308 15.9100 Å, 90.00 90.00 90.00°
Closest atoms and distances in Å follow each position.
Space group P4/mmm (No. 123)
Asymmetric unit:
Tb: 0.0000 0.0000 0.0000 [1 per cell]  12 Pd 2.85-2.93
Mg: 0.0000 0.0000 0.2564 [2 per cell]  12 Pd 2.80-2.85
Mg: 0.0000 0.0000 0.5000 [1 per cell]  12 Pd 2.79-2.85
Pd: 0.0000 0.5000 0.1337 [4 per cell]  8 Pd 2.80-2.93, 2 Mg 2.81, 2 Tb 2.93
Pd: 0.0000 0.5000 0.3785 [4 per cell]  4 Mg 2.79-2.80, 8 Pd 2.79-2.85
Pd: 0.5000 0.5000 0.0000 [1 per cell]  4 Tb 2.85, 8 Pd 2.93
Pd: 0.5000 0.5000 0.2561 [2 per cell]  8 Pd 2.80, 4 Mg 2.85
Pd: 0.5000 0.5000 0.5000 [1 per cell]  8 Pd 2.79, 4 Mg 2.85



## PrNdHoHg (PBE)

Data for a geometry-optimized PrNdHoHg structure.

The total energy is -3.684 eV/atom. For the energy above the lowest structure with this stoichiometry, the calculation gives 0.155 eV/atom. The formation energy is -0.08 eV/atom. The density of states at the Fermi level comes out at 23.8 states/eV/cell.

Cell: 7.8362 7.8362 7.8362 Å, 90.00 90.00 90.00°
Closest atoms and distances in Å follow each position.
Space group F-43m (No. 216)
Asymmetric unit:
Pr: 0.0000 0.0000 0.0000 [4 per cell]  4 Hg 3.39, 4 Ho 3.39
Nd: 0.0000 0.0000 0.5000 [4 per cell]  4 Ho 3.39, 4 Hg 3.39
Ho: 0.2500 0.2500 0.2500 [4 per cell]  4 Pr 3.39, 4 Nd 3.39
Hg: 0.2500 0.2500 0.7500 [4 per cell]  4 Nd 3.39, 4 Pr 3.39



## SrCrAg2 (PBE)

Data for a geometry-optimized SrCrAg2 structure.

The total energy is -4.093 eV/atom. For the energy above the lowest structure with this stoichiometry, the calculation gives 0.000 eV/atom. The formation energy is 0.16 eV/atom. The density of states at the Fermi level comes out at 9.2 states/eV/cell.

Cell: 4.7489 4.7489 15.7375 Å, 90.00 90.00 120.00°
Closest atoms and distances in Å follow each position.
Space group R-3m (No. 166, hexagonal axes)
Asymmetric unit:
Sr: 0.0000 0.0000 0.0000 [3 per cell]  8 Ag 3.20-3.42
Cr: 0.0000 0.0000 0.5000 [3 per cell]  6 Ag 2.80
Ag: 0.0000 0.0000 0.2036 [6 per cell]  3 Cr 2.80, 3 Ag 2.98



Q: Which value of total energy does entry 2 give?
A: -4.974 eV/atom



Please write out number 2 again, unchanged.
## Be2VAs (PBE)

Data for a geometry-optimized Be2VAs structure.

The total energy is -4.974 eV/atom. The formation energy is 0.33 eV/atom. The density of states at the Fermi level comes out at 8.6 states/eV/cell.

Cell: 6.5676 6.5676 4.7358 Å, 90.00 90.00 90.00°
Closest atoms and distances in Å follow each position.
Space group I-42d (No. 122)
Asymmetric unit:
Be: 0.2212 0.2500 0.1250 [8 per cell]  2 As 2.27, 2 Be 2.40, 2 V 2.53
V: 0.0000 0.0000 0.5000 [4 per cell]  2 As 2.37, 4 Be 2.53
As: 0.0000 0.0000 0.0000 [4 per cell]  4 Be 2.27, 2 V 2.37



Q: Number 2 is which compound?
A: Be2VAs